# BIN2 GGA-PBE optimized geometry
# DOS at the Fermi energy = 7.491 states/eV/cell
# DFT total energy = -3.408 eV/atom
data_BIN2
_cell_length_a 5.575
_cell_length_b 5.575
_cell_length_c 5.575
_cell_angle_alpha 90.00
_cell_angle_beta 90.00
_cell_angle_gamma 90.00
_symmetry_space_group_name_H-M 'F m -3 m'
_symmetry_Int_Tables_number 225
_symmetry_space_group_name_Hall '-F 4 2 3'
loop_
_atom_site_label
_atom_site_type_symbol
_atom_site_fract_x
_atom_site_fract_y
_atom_site_fract_z
_atom_site_occupancy
B1 B 0.000 0.000 0.000 1
I1 I 0.000 0.000 0.500 1
N1 N 0.250 0.250 0.250 1

---

# BIN GGA-PBE optimized geometry
# DOS at the Fermi energy = 8.414 states/eV/cell
# DFT total energy = -5.604 eV/atom
data_BIN
_cell_length_a 13.272
_cell_length_b 2.778
_cell_length_c 8.753
_cell_angle_alpha 90.00
_cell_angle_beta 90.00
_cell_angle_gamma 90.00
_symmetry_space_group_name_H-M 'P n m a'
_symmetry_Int_Tables_number 62
_symmetry_space_group_name_Hall '-P 2ac 2n'
loop_
_atom_site_label
_atom_site_type_symbol
_atom_site_fract_x
_atom_site_fract_y
_atom_site_fract_z
_atom_site_occupancy
B1 B 0.010 0.250 0.072 1
I1 I 0.181 0.750 0.530 1
N1 N 0.015 0.750 0.109 1

---

# B3IN GGA-PBE optimized geometry
# DOS at the Fermi energy = 2.674 states/eV/cell
# DFT total energy = -2.316 eV/atom
data_B3IN
_cell_length_a 4.370
_cell_length_b 4.370
_cell_length_c 4.370
_cell_angle_alpha 90.00
_cell_angle_beta 90.00
_cell_angle_gamma 90.00
_symmetry_space_group_name_H-M 'P m -3 m'
_symmetry_Int_Tables_number 221
_symmetry_space_group_name_Hall '-P 4 2 3'
loop_
_atom_site_label
_atom_site_type_symbol
_atom_site_fract_x
_atom_site_fract_y
_atom_site_fract_z
_atom_site_occupancy
B1 B 0.000 0.000 0.500 1
I1 I 0.000 0.000 0.000 1
N1 N 0.500 0.500 0.500 1

---

# BIN2 GGA-PBE optimized geometry
# DOS at the Fermi energy = 2.959 states/eV/cell
# DFT total energy = -5.370 eV/atom
data_BIN2
_cell_length_a 4.754
_cell_length_b 4.754
_cell_length_c 7.773
_cell_angle_alpha 90.00
_cell_angle_beta 90.00
_cell_angle_gamma 90.00
_symmetry_space_group_name_H-M 'I -4 2 d'
_symmetry_Int_Tables_number 122
_symmetry_space_group_name_Hall 'I -4 2bw'
loop_
_atom_site_label
_atom_site_type_symbol
_atom_site_fract_x
_atom_site_fract_y
_atom_site_fract_z
_atom_site_occupancy
B1 B 0.000 0.000 0.000 1
I1 I 0.000 0.000 0.500 1
N1 N 0.098 0.250 0.125 1

---

# NaBI2N GGA-PBE optimized geometry
# DOS at the Fermi energy = 0.560 states/eV/cell
# DFT total energy = -2.303 eV/atom
data_NaBI2N
_cell_length_a 5.924
_cell_length_b 5.924
_cell_length_c 4.568
_cell_angle_alpha 90.00
_cell_angle_beta 90.00
_cell_angle_gamma 90.00
_symmetry_space_group_name_H-M 'P 4/m m m'
_symmetry_Int_Tables_number 123
_symmetry_space_group_name_Hall '-P 4 2'
loop_
_atom_site_label
_atom_site_type_symbol
_atom_site_fract_x
_atom_site_fract_y
_atom_site_fract_z
_atom_site_occupancy
Na1 Na 0.000 0.000 0.000 1
B1 B 0.500 0.500 0.500 1
I1 I 0.000 0.500 0.000 1
N1 N 0.000 0.000 0.500 1

---

# NaBIN2 GGA-PBE optimized geometry
# DOS at the Fermi energy = 3.315 states/eV/cell
# DFT total energy = -3.892 eV/atom
data_NaBIN2
_cell_length_a 3.527
_cell_length_b 3.527
_cell_length_c 7.560
_cell_angle_alpha 90.00
_cell_angle_beta 90.00
_cell_angle_gamma 90.00
_symmetry_space_group_name_H-M 'P 4/m m m'
_symmetry_Int_Tables_number 123
_symmetry_space_group_name_Hall '-P 4 2'
loop_
_atom_site_label
_atom_site_type_symbol
_atom_site_fract_x
_atom_site_fract_y
_atom_site_fract_z
_atom_site_occupancy
Na1 Na 0.000 0.000 0.000 1
B1 B 0.500 0.500 0.500 1
I1 I 0.500 0.500 0.000 1
N1 N 0.000 0.500 0.500 1

---

# NaBIN2 GGA-PBE optimized geometry
# DOS at the Fermi energy = 2.143 states/eV/cell
# DFT total energy = -2.747 eV/atom
data_NaBIN2
_cell_length_a 4.508
_cell_length_b 4.508
_cell_length_c 6.493
_cell_angle_alpha 90.00
_cell_angle_beta 90.00
_cell_angle_gamma 90.00
_symmetry_space_group_name_H-M 'P 4/m m m'
_symmetry_Int_Tables_number 123
_symmetry_space_group_name_Hall '-P 4 2'
loop_
_atom_site_label
_atom_site_type_symbol
_atom_site_fract_x
_atom_site_fract_y
_atom_site_fract_z
_atom_site_occupancy
Na1 Na 0.000 0.000 0.000 1
B1 B 0.500 0.500 0.500 1
I1 I 0.000 0.000 0.500 1
N1 N 0.000 0.500 0.000 1

---

# NaBI2N GGA-PBE optimized geometry
# DOS at the Fermi energy = 0.445 states/eV/cell
# DFT total energy = -4.074 eV/atom
data_NaBI2N
_cell_length_a 6.679
_cell_length_b 6.679
_cell_length_c 2.829
_cell_angle_alpha 90.00
_cell_angle_beta 90.00
_cell_angle_gamma 90.00
_symmetry_space_group_name_H-M 'P 4/m m m'
_symmetry_Int_Tables_number 123
_symmetry_space_group_name_Hall '-P 4 2'
loop_
_atom_site_label
_atom_site_type_symbol
_atom_site_fract_x
_atom_site_fract_y
_atom_site_fract_z
_atom_site_occupancy
Na1 Na 0.000 0.000 0.000 1
B1 B 0.500 0.500 0.500 1
I1 I 0.000 0.500 0.500 1
N1 N 0.500 0.500 0.000 1

---

# NbBI2N GGA-PBE optimized geometry
# DOS at the Fermi energy = 4.267 states/eV/cell
# DFT total energy = -4.980 eV/atom
data_NbBI2N
_cell_length_a 6.510
_cell_length_b 6.510
_cell_length_c 2.787
_cell_angle_alpha 90.00
_cell_angle_beta 90.00
_cell_angle_gamma 90.00
_symmetry_space_group_name_H-M 'P 4/m m m'
_symmetry_Int_Tables_number 123
_symmetry_space_group_name_Hall '-P 4 2'
loop_
_atom_site_label
_atom_site_type_symbol
_atom_site_fract_x
_atom_site_fract_y
_atom_site_fract_z
_atom_site_occupancy
Nb1 Nb 0.000 0.000 0.000 1
B1 B 0.500 0.500 0.500 1
I1 I 0.000 0.500 0.500 1
N1 N 0.500 0.500 0.000 1

---

# NbBI2N GGA-PBE optimized geometry
# DOS at the Fermi energy = 2.394 states/eV/cell
# DFT total energy = -4.694 eV/atom
data_NbBI2N
_cell_length_a 5.727
_cell_length_b 5.727
_cell_length_c 3.926
_cell_angle_alpha 90.00
_cell_angle_beta 90.00
_cell_angle_gamma 90.00
_symmetry_space_group_name_H-M 'P 4/m m m'
_symmetry_Int_Tables_number 123
_symmetry_space_group_name_Hall '-P 4 2'
loop_
_atom_site_label
_atom_site_type_symbol
_atom_site_fract_x
_atom_site_fract_y
_atom_site_fract_z
_atom_site_occupancy
Nb1 Nb 0.000 0.000 0.000 1
B1 B 0.500 0.500 0.500 1
I1 I 0.000 0.500 0.000 1
N1 N 0.000 0.000 0.500 1

---

# NiBI2N GGA-PBE optimized geometry
# DOS at the Fermi energy = 3.596 states/eV/cell
# DFT total energy = -3.462 eV/atom
data_NiBI2N
_cell_length_a 5.464
_cell_length_b 5.464
_cell_length_c 3.518
_cell_angle_alpha 90.00
_cell_angle_beta 90.00
_cell_angle_gamma 90.00
_symmetry_space_group_name_H-M 'P 4/m m m'
_symmetry_Int_Tables_number 123
_symmetry_space_group_name_Hall '-P 4 2'
loop_
_atom_site_label
_atom_site_type_symbol
_atom_site_fract_x
_atom_site_fract_y
_atom_site_fract_z
_atom_site_occupancy
Ni1 Ni 0.000 0.000 0.000 1
B1 B 0.500 0.500 0.500 1
I1 I 0.000 0.500 0.000 1
N1 N 0.000 0.000 0.500 1

---

# NiBI2N GGA-PBE optimized geometry
# DOS at the Fermi energy = 6.710 states/eV/cell
# DFT total energy = -4.243 eV/atom
data_NiBI2N
_cell_length_a 6.193
_cell_length_b 6.193
_cell_length_c 2.779
_cell_angle_alpha 90.00
_cell_angle_beta 90.00
_cell_angle_gamma 90.00
_symmetry_space_group_name_H-M 'P 4/m m m'
_symmetry_Int_Tables_number 123
_symmetry_space_group_name_Hall '-P 4 2'
loop_
_atom_site_label
_atom_site_type_symbol
_atom_site_fract_x
_atom_site_fract_y
_atom_site_fract_z
_atom_site_occupancy
Ni1 Ni 0.000 0.000 0.000 1
B1 B 0.500 0.500 0.500 1
I1 I 0.000 0.500 0.500 1
N1 N 0.500 0.500 0.000 1

---

# BOsIN2 GGA-PBE optimized geometry
# DOS at the Fermi energy = 3.583 states/eV/cell
# DFT total energy = -4.821 eV/atom
data_BOsIN2
_cell_length_a 3.684
_cell_length_b 3.684
_cell_length_c 4.574
_cell_angle_alpha 90.00
_cell_angle_beta 90.00
_cell_angle_gamma 90.00
_symmetry_space_group_name_H-M 'P 4/m m m'
_symmetry_Int_Tables_number 123
_symmetry_space_group_name_Hall '-P 4 2'
loop_
_atom_site_label
_atom_site_type_symbol
_atom_site_fract_x
_atom_site_fract_y
_atom_site_fract_z
_atom_site_occupancy
B1 B 0.000 0.000 0.000 1
Os1 Os 0.500 0.500 0.500 1
I1 I 0.000 0.000 0.500 1
N1 N 0.000 0.500 0.000 1

---

# BOsI2N GGA-PBE optimized geometry
# DOS at the Fermi energy = 3.605 states/eV/cell
# DFT total energy = -4.805 eV/atom
data_BOsI2N
_cell_length_a 6.291
_cell_length_b 6.291
_cell_length_c 2.769
_cell_angle_alpha 90.00
_cell_angle_beta 90.00
_cell_angle_gamma 90.00
_symmetry_space_group_name_H-M 'P 4/m m m'
_symmetry_Int_Tables_number 123
_symmetry_space_group_name_Hall '-P 4 2'
loop_
_atom_site_label
_atom_site_type_symbol
_atom_site_fract_x
_atom_site_fract_y
_atom_site_fract_z
_atom_site_occupancy
B1 B 0.000 0.000 0.000 1
Os1 Os 0.500 0.500 0.500 1
I1 I 0.000 0.500 0.000 1
N1 N 0.000 0.000 0.500 1